An optimized crystal structure of HoTmCuGe, computed with PBE-GGA.

POSCAR file:
```
HoTmCuGe
1.0
-3.923 -0.583 -2.916
0.479 -2.256 -4.350
-1.923 -4.482 -0.674
Ho Ge Tm Cu
1 1 1 1
Direct
0.000 0.000 0.000
0.250 0.250 0.250
0.500 0.500 0.500
0.750 0.750 0.750
```

Summary:
- total moment (Bohr magnetons per cell) = 0.0
- ρ (g/cm³) = 9.250
- ΔH_f (0 K) (eV per atom) = -0.496
- VASP energy (eV/cell) = -19.75
- DOS at the Fermi energy (states/eV per atom) = 0.7217